1.
DFT (PBE) results for a relaxed K2ErCl5 crystal.

```
data_K2ErCl5
_chemical_formula_sum 'K8 Er4 Cl20'
_cell_length_a 12.903
_cell_length_b 8.577
_cell_length_c 8.066
_cell_angle_alpha 90.00
_cell_angle_beta 90.00
_cell_angle_gamma 90.00
_space_group_name_H-M_alt 'P n m a'
_space_group_IT_number 62
loop_
_space_group_symop_operation_xyz
'x,y,z'
'-x,-y,-z'
'-x+1/2,-y,z+1/2'
'x+1/2,y,-z+1/2'
'x+1/2,-y+1/2,-z+1/2'
'-x+1/2,y+1/2,z+1/2'
'-x,y+1/2,-z'
'x,-y+1/2,z'
loop_
_atom_site_label
_atom_site_fract_x
_atom_site_fract_y
_atom_site_fract_z
K1 0.171 0.005 0.060
Er1 0.005 0.250 0.572
Cl1 0.012 0.250 0.907
Cl2 0.069 0.544 0.662
Cl3 0.176 0.250 0.391
Cl4 0.196 0.750 0.349
```

Output
uncorrected formation energy	-2157	meV per atom
V	27.90	Å³ per atom

***

2.
DFT (PBE) results for a relaxed KLiEr2Cl8 crystal.

```
data_KLiEr2Cl8
_chemical_formula_sum 'K1 Li1 Er2 Cl8'
_cell_length_a 6.634
_cell_length_b 8.181
_cell_length_c 6.686
_cell_angle_alpha 90.00
_cell_angle_beta 96.83
_cell_angle_gamma 90.00
_space_group_name_H-M_alt 'P 1 2/m 1'
_space_group_IT_number 10
loop_
_space_group_symop_operation_xyz
'x,y,z'
'-x,-y,-z'
'-x,y,-z'
'x,-y,z'
loop_
_atom_site_label
_atom_site_fract_x
_atom_site_fract_y
_atom_site_fract_z
K1 0.000 0.000 0.000
Li1 0.000 0.500 0.000
Er1 0.500 0.258 0.500
Cl1 0.215 0.283 0.204
Cl2 0.314 0.500 0.674
Cl3 0.324 0.000 0.663
```

Output
uncorrected formation energy	-2124	meV per atom
V	30.02	Å³ per atom

***

3.
DFT (PBE) results for a relaxed KLiErCl5 crystal.

```
data_KLiErCl5
_chemical_formula_sum 'K4 Li4 Er4 Cl20'
_cell_length_a 8.789
_cell_length_b 11.970
_cell_length_c 9.935
_cell_angle_alpha 90.00
_cell_angle_beta 113.54
_cell_angle_gamma 90.00
_space_group_name_H-M_alt 'C 1 2/c 1'
_space_group_IT_number 15
loop_
_space_group_symop_operation_xyz
'x,y,z'
'-x,-y,-z'
'-x,y,-z+1/2'
'x,-y,z+1/2'
'x+1/2,y+1/2,z'
'-x+1/2,-y+1/2,-z'
'-x+1/2,y+1/2,-z+1/2'
'x+1/2,-y+1/2,z+1/2'
loop_
_atom_site_label
_atom_site_fract_x
_atom_site_fract_y
_atom_site_fract_z
K1 0.000 0.155 0.250
Li1 0.000 0.190 0.750
Er1 0.000 0.500 0.000
Cl1 0.000 0.422 0.250
Cl2 0.107 0.302 0.609
Cl3 0.192 0.063 0.924
```

Output
uncorrected formation energy	-2108	meV per atom
V	29.94	Å³ per atom

***

4.
DFT (PBE) results for a relaxed KErMg2Cl8 crystal.

```
data_KErMg2Cl8
_chemical_formula_sum 'K1 Er1 Mg2 Cl8'
_cell_length_a 6.438
_cell_length_b 6.454
_cell_length_c 8.814
_cell_angle_alpha 79.97
_cell_angle_beta 79.52
_cell_angle_gamma 79.39
_space_group_name_H-M_alt 'P -1'
_space_group_IT_number 2
loop_
_space_group_symop_operation_xyz
'x,y,z'
'-x,-y,-z'
loop_
_atom_site_label
_atom_site_fract_x
_atom_site_fract_y
_atom_site_fract_z
K1 0.000 0.000 0.000
Er1 0.000 0.000 0.500
Mg1 0.451 0.456 0.213
Cl1 0.213 0.768 0.717
Cl2 0.253 0.806 0.277
Cl3 0.255 0.282 0.455
Cl4 0.320 0.343 0.008
```

Output
uncorrected formation energy	-1971	meV per atom
V	29.18	Å³ per atom

***

5.
DFT (PBE) results for a relaxed KErMn2Cl8 crystal.

```
data_KErMn2Cl8
_chemical_formula_sum 'K3 Er3 Mn6 Cl24'
_cell_length_a 6.4059
_cell_length_b 6.4059
_cell_length_c 30.8902
_cell_angle_alpha 90.00
_cell_angle_beta 90.00
_cell_angle_gamma 120.00
_space_group_name_H-M_alt 'R 3 2'
_space_group_IT_number 155
_space_group_name_Hall 'R 3 2"'
loop_
_atom_site_label
_atom_site_fract_x
_atom_site_fract_y
_atom_site_fract_z
K1 0.0000 0.0000 0.0000
Er1 0.0000 0.0000 0.5000
Mn1 0.0000 0.0000 0.2470
Cl1 0.0000 0.0000 0.3205
Cl2 0.0098 0.3565 0.2217
```

Output
uncorrected formation energy	-1568	meV per atom
V	30.49	Å³ per atom

***

6.
DFT (PBE) results for a relaxed KErMnCl6 crystal.

```
data_KErMnCl6
_chemical_formula_sum 'K2 Er2 Mn2 Cl12'
_cell_length_a 6.4475
_cell_length_b 6.4475
_cell_length_c 14.2718
_cell_angle_alpha 90.00
_cell_angle_beta 90.00
_cell_angle_gamma 120.00
_space_group_name_H-M_alt 'P -3 1 c'
_space_group_IT_number 163
_space_group_name_Hall '-P 3 2c'
loop_
_atom_site_label
_atom_site_fract_x
_atom_site_fract_y
_atom_site_fract_z
K1 0.0000 0.0000 0.0000
Er1 0.3333 0.6667 0.2500
Mn1 0.3333 0.6667 0.7500
Cl1 0.0292 0.3796 0.6500
```

Output
uncorrected formation energy	-1581	meV per atom
V	28.54	Å³ per atom

***

7.
DFT (PBE) results for a relaxed K2NaErCl6 crystal.

```
data_K2NaErCl6
_chemical_formula_sum 'K8 Na4 Er4 Cl24'
_cell_length_a 10.666
_cell_length_b 10.666
_cell_length_c 10.666
_cell_angle_alpha 90.00
_cell_angle_beta 90.00
_cell_angle_gamma 90.00
_space_group_name_H-M_alt 'F m -3 m'
_space_group_IT_number 225
_space_group_name_Hall '-F 4 2 3'
loop_
_atom_site_label
_atom_site_fract_x
_atom_site_fract_y
_atom_site_fract_z
K1 0.250 0.250 0.250
Na1 0.000 0.000 0.000
Er1 0.000 0.000 0.500
Cl1 0.000 0.000 0.256
```

Output
uncorrected formation energy	-2067	meV per atom
V	30.34	Å³ per atom

***

8.
DFT (PBE) results for a relaxed KNaEr2Cl8 crystal.

```
data_KNaEr2Cl8
_chemical_formula_sum 'K1 Na1 Er2 Cl8'
_cell_length_a 6.710
_cell_length_b 8.199
_cell_length_c 6.844
_cell_angle_alpha 90.00
_cell_angle_beta 94.16
_cell_angle_gamma 90.00
_space_group_name_H-M_alt 'P 1 2/m 1'
_space_group_IT_number 10
loop_
_space_group_symop_operation_xyz
'x,y,z'
'-x,-y,-z'
'-x,y,-z'
'x,-y,z'
loop_
_atom_site_label
_atom_site_fract_x
_atom_site_fract_y
_atom_site_fract_z
K1 0.000 0.000 0.000
Na1 0.000 0.500 0.000
Er1 0.500 0.254 0.500
Cl1 0.233 0.268 0.212
Cl2 0.310 0.500 0.667
Cl3 0.316 0.000 0.659
```

Output
uncorrected formation energy	-2139	meV per atom
V	31.29	Å³ per atom